AgTe2Rh: relaxed, PBE.

Unit cell a=5.746 b=5.746 c=5.746 alpha=137.65 beta=137.65 gamma=61.44
Sites, in units of the cell vectors:
Ag 0.500 0.500 0.000
Te 0.000 0.000 0.000
Te 0.250 0.750 0.500
Rh 0.750 0.250 0.500

Values from the calculation:
Crystal system = tetragonal
Formation energy (no corrections) = 252 meV/atom
SG = I-4m2, No. 119